(1)
First-principles (PBE-GGA) data for a relaxed structure of TbMgBi2, as listed in Alexandria.

Properties
**E_tot**: -3.97 eV/atom
**Total magnetic moment**: 0.00 Bohr magnetons per cell
**Mass density**: 8.79 g cm⁻³
**Space-group type**: P4/nmm
**ΔH_f (0 K)**: -0.470 eV per atom

a b c (Å): 4.572 4.572 10.861
angles (deg): 90.00 90.00 90.00
Fractional positions:
Mg 0.500 0.500 0.000
Mg 0.000 0.000 0.000
Bi 0.500 0.000 0.190
Bi 0.500 0.500 0.500
Bi 0.000 0.000 0.500
Bi 0.000 0.500 0.810
Tb 0.000 0.500 0.278
Tb 0.500 0.000 0.722

---

(2)
First-principles (PBE-GGA) data for a relaxed structure of TbMgBiTe, as listed in Alexandria.

Properties
**E_tot**: -4.05 eV/atom
**Formation energy from raw total energies**: -0.74 eV per atom
**Total magnetic moment**: 0.00 Bohr magnetons per cell
**Mass density**: 6.70 g cm⁻³
**Space-group type**: R-3m

a b c (Å): 4.899 4.899 12.722
angles (deg): 78.90 78.90 60.00
Fractional positions:
Mg 0.806 0.806 0.582
Mg 0.194 0.194 0.418
Tb 0.393 0.393 0.822
Tb 0.607 0.607 0.178
Bi 0.887 0.887 0.340
Bi 0.113 0.113 0.660
Te 0.303 0.303 0.092
Te 0.697 0.697 0.908

---

(3)
First-principles (PBE-GGA) data for a relaxed structure of TbTm2MgBi4, as listed in Alexandria.

Properties
**E_tot**: -4.42 eV/atom
**Total magnetic moment**: 0.00 Bohr magnetons per cell
**Mass density**: 9.07 g cm⁻³
**Space-group type**: P2/m
**ΔH_f (0 K)**: -0.580 eV per atom

a b c (Å): 4.412 7.709 7.755
angles (deg): 109.69 90.00 90.00
Fractional positions:
Bi 0.000 0.256 0.753
Bi 0.500 0.746 0.748
Bi 0.000 0.744 0.247
Bi 0.500 0.254 0.252
Tb 0.000 0.000 0.000
Tm 0.000 0.500 0.500
Tm 0.500 0.000 0.500
Mg 0.500 0.500 0.000

---

(4)
First-principles (PBE-GGA) data for a relaxed structure of TbYMgBi, as listed in Alexandria.

Properties
**E_tot**: -4.46 eV/atom
**Total magnetic moment**: 0.00 Bohr magnetons per cell
**Mass density**: 7.05 g cm⁻³
**Space-group type**: F-43m
**ΔH_f (0 K)**: -0.315 eV per atom

a b c (Å): 5.432 5.432 5.432
angles (deg): 60.00 60.00 60.00
Fractional positions:
Mg 0.000 0.000 0.000
Y 0.250 0.250 0.250
Bi 0.500 0.500 0.500
Tb 0.750 0.750 0.750

---

> Among the records above, which one has the highest mass density?

TbTm2MgBi4